The following is a DFT calculation (PBE) of crystalline MgCd4Ag at its relaxed geometry.

a = 5.014 Å, b = 5.014 Å, c = 6.279 Å
α = 103.65°, β = 103.65°, γ = 113.37°
Fractional coordinates of all 6 atoms:
Mg 0.000 0.000 0.000
Cd 0.307 0.669 0.746
Cd 0.331 0.693 0.254
Cd 0.669 0.307 0.746
Cd 0.693 0.331 0.254
Ag 0.000 0.000 0.500

## Properties
uncorrected energy: -1.37 eV/atom
energy of formation: -0.023 eV/atom